## Zn2FeSe (PBE-GGA)

Data for a geometry-optimized Zn2FeSe structure.

Computed properties:
Its uncorrected formation energy is 108 meV/atom.

Cell: 3.3534 3.3534 5.3637 Å, 90.00 90.00 90.00°
Last column: nearest neighbours and their distance in Å.
Space group P4mm (No. 99)
Inequivalent atoms, fractional coordinates:
Zn1 0.0000 0.0000 0.0000  2 Fe 2.61-2.76, 4 Zn 2.67, 4 Se 2.87
Zn2 0.5000 0.5000 0.2292  1 Se 2.52, 4 Zn 2.67, 4 Fe 2.74
Fe1 0.0000 0.0000 0.4858  6 Zn 2.61-2.76, 4 Se 2.63
Se1 0.5000 0.5000 0.6998  1 Zn 2.52, 4 Fe 2.63

=====

## Sc2CdReTc (PBE-GGA)

Data for a geometry-optimized Sc2CdReTc structure.

Computed properties:
As for the energy: -5.451 eV/atom.

Cell: 5.0223 5.0223 4.8981 Å, 90.00 90.00 90.00°
Last column: nearest neighbours and their distance in Å.
Space group P4/mmm (No. 123)
Inequivalent atoms, fractional coordinates:
Sc1 0.0000 0.5000 0.0000  2 Cd 2.51
Cd1 0.0000 0.0000 0.0000  2 Re 2.45, 4 Sc 2.51
Re1 0.0000 0.0000 0.5000  2 Cd 2.45
Tc1 0.5000 0.5000 0.5000  8 Sc 3.51, 4 Re 3.55

=====

## CaScTa2 (PBE-GGA)

Data for a geometry-optimized CaScTa2 structure.

Computed properties:
The relative energy among the computed polymorphs is 0.00 eV/f.u.

Cell: 3.5213 3.5213 7.8893 Å, 90.00 90.00 90.00°
Last column: nearest neighbours and their distance in Å.
Space group P4mm (No. 99)
Inequivalent atoms, fractional coordinates:
Ca1 0.0000 0.0000 0.0000  5 Ta 3.35-3.41, 4 Ca 3.52, 4 Sc 3.68
Sc1 0.5000 0.5000 0.3431  5 Ta 2.95-3.06
Ta1 0.0000 0.0000 0.5678  4 Ta 2.75, 4 Sc 3.06
Ta2 0.5000 0.5000 0.7166  4 Ta 2.75, 1 Sc 2.95